No. 1
## NiAgMo2 (PBE)

Data for a geometry-optimized NiAgMo2 structure.

Computed properties:
**DFT formation energy**: 1.43 eV per formula unit
**VASP energy**: -7.2154 eV per atom

Cell: 3.4284 4.0027 8.7065 Å, 90.00 90.00 90.00°
With the nearest neighbours (Å) after each atom.
Space group Immm (No. 71)
Symmetry-distinct sites (fractional):
Ni1 0.0000 0.0000 0.0000 (multiplicity 2)  4 Ag 2.64, 4 Mo 2.71
Ag1 0.0000 0.0000 0.5000 (multiplicity 2)  4 Ni 2.64, 8 Mo 2.83-2.90
Mo1 0.0000 0.5000 0.2588 (multiplicity 4)  4 Mo 2.64, 2 Ni 2.71, 4 Ag 2.83-2.90

=====

No. 2
## Ca2PbW (PBE)

Data for a geometry-optimized Ca2PbW structure.

Computed properties:
**DFT formation energy**: 2.06 eV per formula unit
**VASP energy**: -4.6523 eV per atom

Cell: 3.6852 3.6852 8.2230 Å, 90.00 90.00 90.00°
With the nearest neighbours (Å) after each atom.
Space group P4mm (No. 99)
Symmetry-distinct sites (fractional):
Ca1 0.0000 0.0000 0.0000 (multiplicity 1)  1 Pb 3.17, 4 W 3.24
Ca2 0.5000 0.5000 0.3711 (multiplicity 1)  1 W 3.24, 4 Pb 3.28
Pb1 0.0000 0.0000 0.6143 (multiplicity 1)  4 W 2.89, 1 Ca 3.17
W1 0.5000 0.5000 0.7651 (multiplicity 1)  4 Pb 2.89

=====

No. 3
## SrY2MgN (PBE)

Data for a geometry-optimized SrY2MgN structure.

Computed properties:
**E_form (uncorrected)**: -0.5348 eV/atom
**VASP energy**: -5.4408 eV per atom

Cell: 4.8505 4.8505 5.4667 Å, 90.00 90.00 90.00°
With the nearest neighbours (Å) after each atom.
Space group P4/mmm (No. 123)
Symmetry-distinct sites (fractional):
Sr1 0.0000 0.0000 0.0000 (multiplicity 1)  2 N 2.73
Y1 0.0000 0.5000 0.5000 (multiplicity 2)  2 N 2.43
Mg1 0.5000 0.5000 0.0000 (multiplicity 1)  4 Sr 3.43, 8 Y 3.65
N1 0.0000 0.0000 0.5000 (multiplicity 1)  4 Y 2.43